(1)
A plane-wave DFT calculation with PBE was carried out for crystalline Ti5Zn2Pd2 at its relaxed geometry.

a b c (Å): 6.049 7.482 7.740
angles (deg): 118.90 90.00 90.00
Positions (direct):
Pd (0.367, 0.139, 0.000)
Pd (0.133, 0.639, 0.000)
Pd (0.867, 0.361, 0.000)
Pd (0.633, 0.861, 0.000)
Ti (0.153, 0.173, 0.719)
Ti (0.347, 0.673, 0.719)
Ti (0.847, 0.827, 0.281)
Ti (0.653, 0.046, 0.719)
Ti (0.347, 0.954, 0.281)
Ti (0.153, 0.454, 0.281)
Ti (0.500, 0.500, 0.000)
Ti (0.653, 0.327, 0.281)
Ti (0.000, 0.000, 0.000)
Ti (0.847, 0.546, 0.719)
Zn (0.000, 0.792, 0.584)
Zn (0.000, 0.208, 0.416)
Zn (0.500, 0.708, 0.416)
Zn (0.500, 0.292, 0.584)

Calculated values
Magnetic moment   0.000 μB/cell
DFT total energy   -106.9 eV per cell
Formation enthalpy at 0 K   -0.12 eV/atom

***

(2)
A plane-wave DFT calculation with PBE was carried out for crystalline TiZn2Pd8 at its relaxed geometry.

a b c (Å): 4.028 6.195 7.238
angles (deg): 106.55 106.15 90.00
Positions (direct):
Pd (0.597, 0.456, 0.194)
Pd (0.679, 0.922, 0.359)
Pd (0.140, 0.192, 0.281)
Pd (0.860, 0.808, 0.719)
Pd (0.957, 0.269, 0.914)
Pd (0.403, 0.544, 0.806)
Pd (0.321, 0.078, 0.641)
Pd (0.043, 0.731, 0.086)
Ti (0.500, 0.000, 0.000)
Zn (0.222, 0.646, 0.445)
Zn (0.778, 0.354, 0.555)

Calculated values
Magnetic moment   0.000 μB/cell
DFT total energy   -56.9 eV per cell
Formation enthalpy at 0 K   -0.44 eV/atom
Energy above the most stable polymorph in this dataset   0 meV/atom

***

(3)
A plane-wave DFT calculation with PBE was carried out for crystalline TiZnPd5 at its relaxed geometry.

a b c (Å): 4.020 4.020 6.888
angles (deg): 90.00 90.00 90.00
Positions (direct):
Pd (0.500, 0.000, 0.229)
Pd (0.000, 0.500, 0.771)
Pd (0.000, 0.500, 0.229)
Pd (0.500, 0.500, 0.500)
Pd (0.500, 0.000, 0.771)
Ti (0.000, 0.000, 0.500)
Zn (0.500, 0.500, 0.000)

Calculated values
Magnetic moment   0.000 μB/cell
DFT total energy   -38.3 eV per cell
Formation enthalpy at 0 K   -0.46 eV/atom
Energy above the most stable polymorph in this dataset   0 meV/atom

***

(4)
A plane-wave DFT calculation with PBE was carried out for crystalline Ti4Zn3Pd at its relaxed geometry.

a b c (Å): 4.811 5.725 9.111
angles (deg): 90.00 90.00 90.00
Positions (direct):
Ti (0.153, 0.752, 0.750)
Ti (0.500, 0.248, 0.000)
Ti (0.500, 0.248, 0.500)
Ti (0.500, 0.752, 0.000)
Ti (0.500, 0.752, 0.500)
Ti (0.847, 0.752, 0.250)
Ti (0.153, 0.248, 0.750)
Ti (0.847, 0.248, 0.250)
Pd (0.000, 0.500, 0.500)
Pd (0.000, 0.500, 0.000)
Zn (0.000, 0.000, 0.000)
Zn (0.346, 0.000, 0.250)
Zn (0.660, 0.500, 0.750)
Zn (0.000, 0.000, 0.500)
Zn (0.340, 0.500, 0.250)
Zn (0.654, 0.000, 0.750)

Calculated values
Magnetic moment   6.539 μB/cell
DFT total energy   -85.2 eV per cell
Formation enthalpy at 0 K   -0.25 eV/atom

***

(5)
A plane-wave DFT calculation with PBE was carried out for crystalline TiZn2Pd at its relaxed geometry.

a b c (Å): 5.955 5.955 5.955
angles (deg): 53.38 153.63 134.47
Positions (direct):
Ti (0.000, 0.000, 0.000)
Pd (0.000, 0.500, 0.500)
Zn (0.000, 0.737, 0.737)
Zn (0.000, 0.263, 0.263)

Calculated values
Magnetic moment   0.000 μB/cell
DFT total energy   -15.6 eV per cell
Formation enthalpy at 0 K   0.01 eV/atom

***

(6)
A plane-wave DFT calculation with PBE was carried out for crystalline Ti5Zn2Pd at its relaxed geometry.

a b c (Å): 3.888 3.888 8.860
angles (deg): 102.67 102.67 90.00
Positions (direct):
Ti (0.629, 0.129, 0.258)
Ti (0.500, 0.500, 0.000)
Ti (0.371, 0.871, 0.742)
Ti (0.129, 0.629, 0.258)
Ti (0.871, 0.371, 0.742)
Zn (0.248, 0.248, 0.496)
Zn (0.752, 0.752, 0.504)
Pd (0.000, 0.000, 0.000)

Calculated values
Magnetic moment   0.000 μB/cell
DFT total energy   -48.8 eV per cell
Formation enthalpy at 0 K   -0.20 eV/atom
Energy above the most stable polymorph in this dataset   0 meV/atom

***

(7)
A plane-wave DFT calculation with PBE was carried out for crystalline TiZn3Pd12 at its relaxed geometry.

a b c (Å): 3.921 3.921 15.659
angles (deg): 90.00 90.00 90.00
Positions (direct):
Pd (0.500, 0.000, 0.375)
Pd (0.000, 0.500, 0.625)
Pd (0.500, 0.500, 0.500)
Pd (0.500, 0.000, 0.625)
Pd (0.500, 0.000, 0.123)
Pd (0.500, 0.500, 0.000)
Pd (0.000, 0.500, 0.123)
Pd (0.500, 0.500, 0.751)
Pd (0.000, 0.500, 0.375)
Pd (0.500, 0.000, 0.877)
Pd (0.500, 0.500, 0.249)
Pd (0.000, 0.500, 0.877)
Zn (0.000, 0.000, 0.253)
Zn (0.000, 0.000, 0.747)
Zn (0.000, 0.000, 0.500)
Ti (0.000, 0.000, 0.000)

Calculated values
Magnetic moment   0.000 μB/cell
DFT total energy   -80.3 eV per cell
Formation enthalpy at 0 K   -0.39 eV/atom

***

(8)
A plane-wave DFT calculation with PBE was carried out for crystalline Ti2Zn8Pd at its relaxed geometry.

a b c (Å): 4.015 6.035 7.320
angles (deg): 104.33 105.92 90.00
Positions (direct):
Zn (0.962, 0.279, 0.923)
Zn (0.326, 0.105, 0.651)
Zn (0.407, 0.549, 0.814)
Zn (0.593, 0.451, 0.186)
Zn (0.038, 0.721, 0.077)
Zn (0.137, 0.168, 0.275)
Zn (0.863, 0.832, 0.725)
Zn (0.674, 0.895, 0.349)
Pd (0.500, 0.000, 0.000)
Ti (0.227, 0.642, 0.454)
Ti (0.773, 0.358, 0.546)

Calculated values
Magnetic moment   0.000 μB/cell
DFT total energy   -33.2 eV per cell
Formation enthalpy at 0 K   -0.18 eV/atom

***

(9)
A plane-wave DFT calculation with PBE was carried out for crystalline Ti2Zn2Pd3 at its relaxed geometry.

a b c (Å): 2.776 6.580 6.954
angles (deg): 117.23 101.52 90.00
Positions (direct):
Pd (0.767, 0.317, 0.534)
Pd (0.233, 0.683, 0.466)
Pd (0.000, 0.500, 0.000)
Ti (0.629, 0.891, 0.258)
Ti (0.371, 0.109, 0.742)
Zn (0.080, 0.216, 0.159)
Zn (0.920, 0.784, 0.841)

Calculated values
Magnetic moment   0.002 μB/cell
DFT total energy   -36.4 eV per cell
Formation enthalpy at 0 K   -0.36 eV/atom
Energy above the most stable polymorph in this dataset   43 meV/atom

***

(10)
A plane-wave DFT calculation with PBE was carried out for crystalline Ti2ZnPd at its relaxed geometry.

a b c (Å): 7.238 7.238 5.724
angles (deg): 50.78 50.78 90.00
Positions (direct):
Ti (0.375, 0.360, 0.750)
Ti (0.875, 0.890, 0.750)
Ti (0.640, 0.125, 0.250)
Ti (0.110, 0.625, 0.250)
Zn (0.500, 0.500, 0.000)
Zn (0.250, 0.750, 0.500)
Pd (0.750, 0.250, 0.500)
Pd (0.000, 0.000, 0.000)

Calculated values
Magnetic moment   0.000 μB/cell
DFT total energy   -44.5 eV per cell
Formation enthalpy at 0 K   0.01 eV/atom

***

(11)
A plane-wave DFT calculation with PBE was carried out for crystalline TiZnPd6 at its relaxed geometry.

a b c (Å): 3.892 5.563 5.563
angles (deg): 89.96 90.00 90.00
Positions (direct):
Pd (0.000, 0.753, 0.753)
Pd (0.000, 0.248, 0.752)
Pd (0.500, 0.000, 0.500)
Pd (0.500, 0.500, 0.000)
Pd (0.000, 0.752, 0.248)
Pd (0.000, 0.247, 0.247)
Zn (0.500, 0.500, 0.500)
Ti (0.500, 0.000, 0.000)

Calculated values
Magnetic moment   0.000 μB/cell
DFT total energy   -44.4 eV per cell
Formation enthalpy at 0 K   -0.51 eV/atom
Energy above the most stable polymorph in this dataset   0 meV/atom

***

(12)
A plane-wave DFT calculation with PBE was carried out for crystalline Ti2Zn5Pd4 at its relaxed geometry.

a b c (Å): 2.754 7.353 8.622
angles (deg): 88.03 90.00 90.00
Positions (direct):
Zn (0.000, 0.454, 0.341)
Zn (0.000, 0.546, 0.659)
Zn (0.000, 0.851, 0.120)
Zn (0.000, 0.500, 0.000)
Zn (0.000, 0.149, 0.880)
Ti (0.000, 0.922, 0.635)
Ti (0.000, 0.078, 0.365)
Pd (0.500, 0.234, 0.133)
Pd (0.500, 0.244, 0.600)
Pd (0.500, 0.756, 0.400)
Pd (0.500, 0.766, 0.867)

Calculated values
Magnetic moment   0.000 μB/cell
DFT total energy   -46.4 eV per cell
Formation enthalpy at 0 K   -0.31 eV/atom

***

(13)
A plane-wave DFT calculation with PBE was carried out for crystalline Ti2ZnPd3 at its relaxed geometry.

a b c (Å): 4.441 4.441 10.881
angles (deg): 90.00 90.00 120.00
Positions (direct):
Pd (0.667, 0.333, 0.578)
Pd (0.000, 0.000, 0.249)
Pd (0.667, 0.333, 0.069)
Pd (0.333, 0.667, 0.931)
Pd (0.000, 0.000, 0.751)
Pd (0.333, 0.667, 0.422)
Ti (0.667, 0.333, 0.821)
Ti (0.333, 0.667, 0.179)
Ti (0.000, 0.000, 0.500)
Ti (0.000, 0.000, 0.000)
Zn (0.333, 0.667, 0.670)
Zn (0.667, 0.333, 0.330)

Calculated values
Magnetic moment   0.001 μB/cell
DFT total energy   -71.6 eV per cell
Formation enthalpy at 0 K   -0.53 eV/atom
Energy above the most stable polymorph in this dataset   0 meV/atom

***

(14)
A plane-wave DFT calculation with PBE was carried out for crystalline Ti2ZnPd8 at its relaxed geometry.

a b c (Å): 3.975 6.293 7.274
angles (deg): 105.33 105.85 90.00
Positions (direct):
Pd (0.042, 0.733, 0.084)
Pd (0.600, 0.461, 0.199)
Pd (0.150, 0.208, 0.299)
Pd (0.400, 0.539, 0.801)
Pd (0.850, 0.792, 0.701)
Pd (0.323, 0.082, 0.646)
Pd (0.958, 0.267, 0.916)
Pd (0.677, 0.918, 0.354)
Ti (0.219, 0.664, 0.437)
Ti (0.781, 0.336, 0.563)
Zn (0.500, 0.000, 0.000)

Calculated values
Magnetic moment   0.000 μB/cell
DFT total energy   -64.1 eV per cell
Formation enthalpy at 0 K   -0.50 eV/atom
Energy above the most stable polymorph in this dataset   0 meV/atom

***

(15)
A plane-wave DFT calculation with PBE was carried out for crystalline Ti6ZnPd2 at its relaxed geometry.

a b c (Å): 4.252 6.147 7.470
angles (deg): 114.30 106.55 90.00
Positions (direct):
Pd (0.334, 0.334, 0.669)
Pd (0.666, 0.666, 0.331)
Ti (0.500, 0.751, 0.000)
Ti (0.165, 0.919, 0.331)
Ti (0.165, 0.412, 0.331)
Ti (0.835, 0.081, 0.669)
Ti (0.500, 0.249, 0.000)
Ti (0.835, 0.588, 0.669)
Zn (0.000, 0.000, 0.000)

Calculated values
Magnetic moment   0.002 μB/cell
DFT total energy   -57.9 eV per cell
Formation enthalpy at 0 K   0.12 eV/atom

***

(16)
A plane-wave DFT calculation with PBE was carried out for crystalline Ti3ZnPd6 at its relaxed geometry.

a b c (Å): 4.669 8.863 8.863
angles (deg): 120.39 90.00 90.00
Positions (direct):
Pd (0.148, 0.703, 0.297)
Pd (0.326, 0.046, 0.452)
Pd (0.326, 0.548, 0.954)
Pd (0.950, 0.052, 0.948)
Pd (0.048, 0.385, 0.293)
Pd (0.648, 0.297, 0.703)
Pd (0.548, 0.293, 0.385)
Pd (0.826, 0.954, 0.548)
Pd (0.048, 0.707, 0.615)
Pd (0.826, 0.452, 0.046)
Pd (0.548, 0.615, 0.707)
Pd (0.450, 0.948, 0.052)
Ti (0.960, 0.736, 0.931)
Ti (0.460, 0.264, 0.069)
Ti (0.460, 0.931, 0.736)
Ti (0.586, 0.603, 0.397)
Ti (0.960, 0.069, 0.264)
Ti (0.086, 0.397, 0.603)
Zn (0.634, 0.785, 0.215)
Zn (0.134, 0.215, 0.785)

Calculated values
Magnetic moment   0.002 μB/cell
DFT total energy   -120.7 eV per cell
Formation enthalpy at 0 K   -0.43 eV/atom

***

(17)
A plane-wave DFT calculation with PBE was carried out for crystalline TiZn2Pd at its relaxed geometry.

a b c (Å): 4.371 4.371 4.371
angles (deg): 60.00 60.00 60.00
Positions (direct):
Zn (0.250, 0.250, 0.250)
Zn (0.750, 0.750, 0.750)
Ti (0.000, 0.000, 0.000)
Pd (0.500, 0.500, 0.500)

Calculated values
Magnetic moment   0.000 μB/cell
DFT total energy   -17.1 eV per cell
Formation enthalpy at 0 K   -0.36 eV/atom

***

(18)
A plane-wave DFT calculation with PBE was carried out for crystalline TiZn7Pd4 at its relaxed geometry.

a b c (Å): 4.752 8.415 5.484
angles (deg): 83.84 64.33 73.60
Positions (direct):
Zn (0.500, 0.000, 0.000)
Zn (0.036, 0.630, 0.298)
Zn (0.964, 0.370, 0.702)
Zn (0.661, 0.451, 0.226)
Zn (0.785, 0.911, 0.518)
Zn (0.215, 0.089, 0.482)
Zn (0.339, 0.549, 0.774)
Pd (0.726, 0.683, 0.865)
Pd (0.274, 0.317, 0.135)
Pd (0.599, 0.225, 0.578)
Pd (0.401, 0.775, 0.422)
Ti (0.000, 0.000, 0.000)

Calculated values
Magnetic moment   0.696 μB/cell
DFT total energy   -39.4 eV per cell
Formation enthalpy at 0 K   -0.15 eV/atom

***

(19)
A plane-wave DFT calculation with PBE was carried out for crystalline Ti2Zn3Pd4 at its relaxed geometry.

a b c (Å): 3.944 4.674 8.345
angles (deg): 75.98 89.98 65.00
Positions (direct):
Zn (0.000, 0.000, 0.000)
Zn (0.659, 0.683, 0.557)
Zn (0.341, 0.317, 0.443)
Pd (0.985, 0.031, 0.669)
Pd (0.015, 0.969, 0.331)
Pd (0.662, 0.675, 0.890)
Pd (0.338, 0.325, 0.110)
Ti (0.674, 0.651, 0.220)
Ti (0.326, 0.349, 0.780)

Calculated values
Magnetic moment   0.000 μB/cell
DFT total energy   -45.2 eV per cell
Formation enthalpy at 0 K   -0.54 eV/atom

***

(20)
A plane-wave DFT calculation with PBE was carried out for crystalline TiZnPd6 at its relaxed geometry.

a b c (Å): 6.891 7.323 5.040
angles (deg): 43.09 46.80 57.91
Positions (direct):
Pd (0.452, 0.249, 0.353)
Pd (0.949, 0.454, 0.846)
Pd (0.051, 0.546, 0.154)
Pd (0.751, 0.949, 0.754)
Pd (0.548, 0.751, 0.647)
Pd (0.249, 0.051, 0.246)
Ti (0.500, 0.500, 0.500)
Zn (0.000, 0.000, 0.000)

Calculated values
Magnetic moment   0.000 μB/cell
DFT total energy   -43.0 eV per cell
Formation enthalpy at 0 K   -0.33 eV/atom
Energy above the most stable polymorph in this dataset   173 meV/atom